Record 1
A plane-wave DFT calculation with PBE+U was carried out for NpFe2NiO6 after structural relaxation.

Properties
Symmetry: P2_1/c, No. 14
Total magnetization (μB per formula unit): 9.00
Energy (eV per cell): -149.94
Crystal system: monoclinic

Cell: 5.4611 5.3987 9.6022 Å, 90.00 124.67 90.00°
Atoms (fractional coordinates):
Np (0.0000, 0.0000, 0.0000)
Np (0.0000, 0.5000, 0.5000)
Fe (0.2888, 0.0344, 0.7708)
Fe (0.2888, 0.4656, 0.2708)
Fe (0.7112, 0.5344, 0.7292)
Fe (0.7112, 0.9656, 0.2292)
Ni (0.5000, 0.0000, 0.5000)
Ni (0.5000, 0.5000, 0.0000)
O (0.0802, 0.1823, 0.4206)
O (0.0802, 0.3177, 0.9206)
O (0.2779, 0.6739, 0.4462)
O (0.2779, 0.8261, 0.9462)
O (0.3718, 0.0888, 0.2522)
O (0.3718, 0.4112, 0.7522)
O (0.6282, 0.5888, 0.2478)
O (0.6282, 0.9112, 0.7478)
O (0.7221, 0.1739, 0.0538)
O (0.7221, 0.3261, 0.5538)
O (0.9198, 0.6823, 0.0794)
O (0.9198, 0.8177, 0.5794)



Record 2
A plane-wave DFT calculation with PBE+U was carried out for NpFeNi2O6 after structural relaxation.

Properties
Symmetry: P1, No. 1
Total magnetization (μB per formula unit): 7.00
Energy (eV per cell): -71.43
Crystal system: triclinic

Cell: 5.2572 5.2857 5.6835 Å, 62.72 63.05 60.21°
Atoms (fractional coordinates):
Np (0.0000, 0.0000, 0.0000)
Fe (0.5059, 0.5049, 0.4810)
Ni (0.3080, 0.3093, 0.0768)
Ni (0.7978, 0.7993, 0.5998)
O (0.0894, 0.7170, 0.7906)
O (0.2098, 0.5991, 0.2827)
O (0.4024, 0.0898, 0.7892)
O (0.6043, 0.9141, 0.2774)
O (0.7099, 0.4061, 0.7830)
O (0.9164, 0.2063, 0.2754)



> Which formula does entry 1 have?

NpFe2NiO6